# Nb2VAuC (PBE-GGA, optimized geometry)
data_Nb2VAuC
_symmetry_space_group_name_H-M 'P 4/m m m'
_symmetry_Int_Tables_number 123
_symmetry_space_group_name_Hall '-P 4 2'
_cell_length_a 4.338
_cell_length_b 4.338
_cell_length_c 3.984
_cell_angle_alpha 90.00
_cell_angle_beta 90.00
_cell_angle_gamma 90.00
loop_
_atom_site_label
_atom_site_type_symbol
_atom_site_fract_x
_atom_site_fract_y
_atom_site_fract_z
Nb1 Nb 0.000 0.500 0.000
V1 V 0.000 0.000 0.500
Au1 Au 0.500 0.500 0.500
C1 C 0.000 0.000 0.000
# Theoretical density, g cm⁻³: 9.9
# Electronic total energy, eV/atom: -8.598
# Fermi-level density of states, states/eV per atom: 0.6212
# Formation energy from the elements, kJ/mol of atoms: -23.7

# Sr2YCr (PBE-GGA, optimized geometry)
data_Sr2YCr
_symmetry_space_group_name_H-M 'P 4 m m'
_symmetry_Int_Tables_number 99
_symmetry_space_group_name_Hall 'P 4 -2'
_cell_length_a 3.876
_cell_length_b 3.876
_cell_length_c 9.725
_cell_angle_alpha 90.00
_cell_angle_beta 90.00
_cell_angle_gamma 90.00
loop_
_atom_site_label
_atom_site_type_symbol
_atom_site_fract_x
_atom_site_fract_y
_atom_site_fract_z
Sr1 Sr 0.000 0.000 0.000
Sr2 Sr 0.500 0.500 0.346
Y1 Y 0.000 0.000 0.631
Cr1 Cr 0.500 0.500 0.778
# Theoretical density, g cm⁻³: 3.6
# Electronic total energy, eV/atom: -4.516
# Fermi-level density of states, states/eV per atom: 1.0779
# Formation energy from the elements, kJ/mol of atoms: 33.4

- Which of these has the lowest theoretical density?
  Sr2YCr